1.
TiNbZn, relaxed, DFT PBE; ΔE_f = -0.07 eV per atom; energy above the most stable polymorph in this dataset = 0.008 eV/atom
1.0
4.537 0.000 0.000
-2.269 3.929 0.000
0.000 0.000 5.575
Ti Nb Zn
2 2 2
direct
0.000 0.000 0.000
0.333 0.667 0.319
0.000 0.000 0.504
0.667 0.333 0.689
0.333 0.667 0.819
0.667 0.333 0.192


2.
Ti8Nb2Zn, relaxed, DFT PBE; ΔE_f = 0.13 eV per atom
1.0
7.594 -2.687 0.000
7.594 2.687 0.000
-0.507 0.000 4.798
Ti Nb Zn
8 2 1
direct
0.050 0.050 0.199
0.115 0.641 0.303
0.317 0.317 0.798
0.359 0.885 0.697
0.641 0.115 0.303
0.683 0.683 0.202
0.885 0.359 0.697
0.950 0.950 0.801
0.222 0.222 0.260
0.778 0.778 0.740
0.500 0.500 0.000


3.
Ti4NbZn, relaxed, DFT PBE; ΔE_f = 0.14 eV per atom; energy above the most stable polymorph in this dataset = 0.183 eV/atom
1.0
2.789 0.000 0.000
0.000 7.949 0.000
-0.018 0.000 4.756
Ti Nb Zn
4 1 1
direct
0.000 0.184 0.000
0.000 0.816 0.000
0.500 0.311 0.500
0.500 0.689 0.500
0.500 0.500 0.000
0.000 0.000 0.500